# 1
Material: ScTlCd
Method: DFT, PBE
State: relaxed

Geometry as CIF:
```
data_ScTlCd
_symmetry_space_group_name_H-M 'P 1'
_symmetry_Int_Tables_number 1
_cell_length_a 10.386
_cell_length_b 4.524
_cell_length_c 6.316
_cell_angle_alpha 90.00
_cell_angle_beta 108.37
_cell_angle_gamma 90.00
loop_
_symmetry_equiv_pos_as_xyz
'x,y,z'
loop_
_atom_site_label
_atom_site_fract_x
_atom_site_fract_y
_atom_site_fract_z
Sc1 0.000 0.000 0.000
Sc2 0.181 0.500 0.375
Sc3 0.500 0.500 0.000
Sc4 0.681 0.000 0.375
Tl1 0.172 0.500 0.883
Tl2 0.340 0.000 0.678
Tl3 0.672 0.000 0.883
Tl4 0.840 0.500 0.678
Cd1 0.005 0.000 0.489
Cd2 0.348 0.000 0.190
Cd3 0.505 0.500 0.489
Cd4 0.848 0.500 0.190
```

Computed properties:
For the density, the calculation gives 8.5 g/cm³. The calculation puts the formation energy at -160 meV/atom.

# 2
Material: CoBIrPd2
Method: DFT, PBE
State: relaxed

Geometry as CIF:
```
data_CoBIrPd2
_symmetry_space_group_name_H-M 'P 1'
_symmetry_Int_Tables_number 1
_cell_length_a 4.123
_cell_length_b 4.123
_cell_length_c 4.088
_cell_angle_alpha 90.00
_cell_angle_beta 90.00
_cell_angle_gamma 90.00
loop_
_symmetry_equiv_pos_as_xyz
'x,y,z'
loop_
_atom_site_label
_atom_site_fract_x
_atom_site_fract_y
_atom_site_fract_z
Co1 0.000 0.000 0.000
B1 0.500 0.500 0.500
Ir1 0.500 0.500 0.000
Pd1 0.000 0.500 0.500
Pd2 0.500 0.000 0.500
```

Computed properties:
For the density, the calculation gives 11.3 g/cm³. The calculation puts the formation energy at 203 meV/atom.

# 3
Material: Rb2MgBi
Method: DFT, PBE
State: relaxed

Geometry as CIF:
```
data_Rb2MgBi
_symmetry_space_group_name_H-M 'P 1'
_symmetry_Int_Tables_number 1
_cell_length_a 5.196
_cell_length_b 5.196
_cell_length_c 25.713
_cell_angle_alpha 90.00
_cell_angle_beta 90.00
_cell_angle_gamma 90.00
loop_
_symmetry_equiv_pos_as_xyz
'x,y,z'
loop_
_atom_site_label
_atom_site_fract_x
_atom_site_fract_y
_atom_site_fract_z
Rb1 0.248 0.250 0.125
Rb2 0.250 0.748 0.375
Rb3 0.250 0.752 0.875
Rb4 0.252 0.250 0.625
Rb5 0.748 0.750 0.625
Rb6 0.750 0.248 0.875
Rb7 0.750 0.252 0.375
Rb8 0.752 0.750 0.125
Mg1 0.000 0.000 0.500
Mg2 0.000 0.500 0.750
Mg3 0.500 0.000 0.250
Mg4 0.500 0.500 0.000
Bi1 0.000 0.000 0.000
Bi2 0.000 0.500 0.250
Bi3 0.500 0.000 0.750
Bi4 0.500 0.500 0.500
```

Computed properties:
For the density, the calculation gives 3.9 g/cm³. The calculation puts the formation energy at 175 meV/atom.

# 4
Material: Cu6NiAu2
Method: DFT, PBE
State: relaxed

Geometry as CIF:
```
data_Cu6NiAu2
_symmetry_space_group_name_H-M 'P 1'
_symmetry_Int_Tables_number 1
_cell_length_a 4.936
_cell_length_b 4.936
_cell_length_c 5.838
_cell_angle_alpha 90.00
_cell_angle_beta 90.00
_cell_angle_gamma 120.00
loop_
_symmetry_equiv_pos_as_xyz
'x,y,z'
loop_
_atom_site_label
_atom_site_fract_x
_atom_site_fract_y
_atom_site_fract_z
Cu1 0.170 0.339 0.170
Cu2 0.170 0.830 0.170
Cu3 0.339 0.170 0.830
Cu4 0.661 0.830 0.170
Cu5 0.830 0.170 0.830
Cu6 0.830 0.661 0.830
Ni1 0.000 0.000 0.500
Au1 0.333 0.667 0.599
Au2 0.667 0.333 0.401
```

Computed properties:
For the density, the calculation gives 11.2 g/cm³. The calculation puts the formation energy at 128 meV/atom.

# 5
Material: PmDy2Te
Method: DFT, PBE
State: relaxed

Geometry as CIF:
```
data_PmDy2Te
_symmetry_space_group_name_H-M 'P 1'
_symmetry_Int_Tables_number 1
_cell_length_a 3.870
_cell_length_b 3.870
_cell_length_c 7.995
_cell_angle_alpha 90.00
_cell_angle_beta 90.00
_cell_angle_gamma 90.00
loop_
_symmetry_equiv_pos_as_xyz
'x,y,z'
loop_
_atom_site_label
_atom_site_fract_x
_atom_site_fract_y
_atom_site_fract_z
Pm1 0.000 0.000 0.000
Dy1 0.500 0.500 0.280
Dy2 0.500 0.500 0.720
Te1 0.000 0.000 0.500
```

Computed properties:
For the density, the calculation gives 8.3 g/cm³. The value obtained for the uncorrected formation energy is -53.4 kJ per mole of atoms.

# 6
Material: Cs2FeNiC6N6
Method: DFT, PBE
State: relaxed

Geometry as CIF:
```
data_Cs2FeNiC6N6
_symmetry_space_group_name_H-M 'P 1'
_symmetry_Int_Tables_number 1
_cell_length_a 7.255
_cell_length_b 7.255
_cell_length_c 7.255
_cell_angle_alpha 60.00
_cell_angle_beta 60.00
_cell_angle_gamma 60.00
loop_
_symmetry_equiv_pos_as_xyz
'x,y,z'
loop_
_atom_site_label
_atom_site_fract_x
_atom_site_fract_y
_atom_site_fract_z
Cs1 0.250 0.250 0.250
Cs2 0.750 0.750 0.750
Fe1 0.000 0.000 0.000
Ni1 0.500 0.500 0.500
C1 0.184 0.184 0.816
C2 0.184 0.816 0.184
C3 0.184 0.816 0.816
C4 0.816 0.184 0.184
C5 0.816 0.184 0.816
C6 0.816 0.816 0.184
N1 0.299 0.299 0.701
N2 0.299 0.701 0.299
N3 0.299 0.701 0.701
N4 0.701 0.299 0.299
N5 0.701 0.299 0.701
N6 0.701 0.701 0.299
```

Computed properties:
For the density, the calculation gives 3.3 g/cm³. The value obtained for the uncorrected formation energy is -6.7 kJ per mole of atoms.

# 7
Material: RbZn2Pt2
Method: DFT, PBE
State: relaxed

Geometry as CIF:
```
data_RbZn2Pt2
_symmetry_space_group_name_H-M 'P 1'
_symmetry_Int_Tables_number 1
_cell_length_a 4.467
_cell_length_b 4.467
_cell_length_c 10.690
_cell_angle_alpha 90.00
_cell_angle_beta 90.00
_cell_angle_gamma 90.00
loop_
_symmetry_equiv_pos_as_xyz
'x,y,z'
loop_
_atom_site_label
_atom_site_fract_x
_atom_site_fract_y
_atom_site_fract_z
Rb1 0.000 0.000 0.000
Rb2 0.500 0.500 0.500
Zn1 0.000 0.500 0.250
Zn2 0.000 0.500 0.750
Zn3 0.500 0.000 0.250
Zn4 0.500 0.000 0.750
Pt1 0.000 0.000 0.376
Pt2 0.000 0.000 0.624
Pt3 0.500 0.500 0.124
Pt4 0.500 0.500 0.876
```

Computed properties:
For the density, the calculation gives 9.4 g/cm³. The calculation puts the formation energy at -227 meV/atom.

# 8
Material: Nb2GeN
Method: DFT, PBE
State: relaxed

Geometry as CIF:
```
data_Nb2GeN
_symmetry_space_group_name_H-M 'P 1'
_symmetry_Int_Tables_number 1
_cell_length_a 6.105
_cell_length_b 6.105
_cell_length_c 6.105
_cell_angle_alpha 90.00
_cell_angle_beta 90.00
_cell_angle_gamma 90.00
loop_
_symmetry_equiv_pos_as_xyz
'x,y,z'
loop_
_atom_site_label
_atom_site_fract_x
_atom_site_fract_y
_atom_site_fract_z
Nb1 0.250 0.250 0.250
Nb2 0.250 0.250 0.750
Nb3 0.250 0.750 0.250
Nb4 0.250 0.750 0.750
Nb5 0.750 0.250 0.250
Nb6 0.750 0.250 0.750
Nb7 0.750 0.750 0.250
Nb8 0.750 0.750 0.750
Ge1 0.000 0.000 0.000
Ge2 0.000 0.500 0.500
Ge3 0.500 0.000 0.500
Ge4 0.500 0.500 0.000
N1 0.000 0.000 0.500
N2 0.000 0.500 0.000
N3 0.500 0.000 0.000
N4 0.500 0.500 0.500
```

Computed properties:
For the density, the calculation gives 8.0 g/cm³. The value obtained for the uncorrected formation energy is 24.9 kJ per mole of atoms.

# 9
Material: Rb2SbPb2S6
Method: DFT, PBE
State: relaxed

Geometry as CIF:
```
data_Rb2SbPb2S6
_symmetry_space_group_name_H-M 'P 1'
_symmetry_Int_Tables_number 1
_cell_length_a 7.000
_cell_length_b 7.000
_cell_length_c 8.278
_cell_angle_alpha 99.00
_cell_angle_beta 99.00
_cell_angle_gamma 118.20
loop_
_symmetry_equiv_pos_as_xyz
'x,y,z'
loop_
_atom_site_label
_atom_site_fract_x
_atom_site_fract_y
_atom_site_fract_z
Rb1 0.179 0.821 0.000
Rb2 0.821 0.179 0.000
Sb1 0.000 0.000 0.500
Pb1 0.332 0.668 0.500
Pb2 0.668 0.332 0.500
S1 0.068 0.362 0.692
S2 0.216 0.216 0.309
S3 0.362 0.068 0.692
S4 0.638 0.932 0.308
S5 0.784 0.784 0.691
S6 0.932 0.638 0.308
```

Computed properties:
For the density, the calculation gives 4.4 g/cm³. The value obtained for the uncorrected formation energy is -51.8 kJ per mole of atoms.

# 10
Material: TbCeMnC
Method: DFT, PBE
State: relaxed

Geometry as CIF:
```
data_TbCeMnC
_symmetry_space_group_name_H-M 'P 1'
_symmetry_Int_Tables_number 1
_cell_length_a 3.695
_cell_length_b 3.695
_cell_length_c 11.086
_cell_angle_alpha 90.00
_cell_angle_beta 90.00
_cell_angle_gamma 90.00
loop_
_symmetry_equiv_pos_as_xyz
'x,y,z'
loop_
_atom_site_label
_atom_site_fract_x
_atom_site_fract_y
_atom_site_fract_z
Tb1 0.250 0.250 0.202
Tb2 0.750 0.750 0.798
Ce1 0.250 0.750 0.500
Ce2 0.750 0.250 0.500
Mn1 0.250 0.750 0.000
Mn2 0.750 0.250 0.000
C1 0.250 0.250 0.934
C2 0.750 0.750 0.066
```

Computed properties:
For the density, the calculation gives 8.0 g/cm³. The calculation puts the formation energy at 155 meV/atom.

# 11
Material: Al2ReAs
Method: DFT, PBE
State: relaxed

Geometry as CIF:
```
data_Al2ReAs
_symmetry_space_group_name_H-M 'P 1'
_symmetry_Int_Tables_number 1
_cell_length_a 3.313
_cell_length_b 4.480
_cell_length_c 8.305
_cell_angle_alpha 90.00
_cell_angle_beta 90.00
_cell_angle_gamma 90.00
loop_
_symmetry_equiv_pos_as_xyz
'x,y,z'
loop_
_atom_site_label
_atom_site_fract_x
_atom_site_fract_y
_atom_site_fract_z
Al1 0.000 0.000 0.000
Al2 0.000 0.500 0.246
Al3 0.500 0.000 0.746
Al4 0.500 0.500 0.500
Re1 0.000 0.000 0.492
Re2 0.500 0.500 0.992
As1 0.000 0.500 0.746
As2 0.500 0.000 0.246
```

Computed properties:
For the density, the calculation gives 8.5 g/cm³. The calculation puts the formation energy at 134 meV/atom.

# 12
Material: Mn3FeC
Method: DFT, PBE
State: relaxed

Geometry as CIF:
```
data_Mn3FeC
_symmetry_space_group_name_H-M 'P 1'
_symmetry_Int_Tables_number 1
_cell_length_a 5.259
_cell_length_b 5.259
_cell_length_c 4.579
_cell_angle_alpha 106.62
_cell_angle_beta 106.62
_cell_angle_gamma 59.71
loop_
_symmetry_equiv_pos_as_xyz
'x,y,z'
loop_
_atom_site_label
_atom_site_fract_x
_atom_site_fract_y
_atom_site_fract_z
Mn1 0.000 0.000 0.000
Mn2 0.237 0.763 0.500
Mn3 0.242 0.242 0.511
Mn4 0.500 0.500 0.000
Mn5 0.758 0.758 0.489
Mn6 0.763 0.237 0.500
Fe1 0.000 0.500 0.000
Fe2 0.500 0.000 0.000
C1 0.371 0.371 0.259
C2 0.629 0.629 0.741
```

Computed properties:
For the density, the calculation gives 7.5 g/cm³. The calculation puts the formation energy at 89 meV/atom.